Entry from the Alexandria database: an optimized crystal structure of CsMgUS4 (PBE).

Cell lengths 6.796, 6.926, 8.900 Å; angles 90.00, 97.51, 90.00 degrees
Positions (direct):
Cs  0.192  0.250  0.067
Cs  0.808  0.750  0.933
Mg  0.364  0.250  0.653
Mg  0.636  0.750  0.347
U  0.169  0.750  0.457
U  0.831  0.250  0.543
S  0.107  0.002  0.680
S  0.107  0.498  0.680
S  0.312  0.750  0.199
S  0.478  0.250  0.408
S  0.522  0.750  0.592
S  0.688  0.250  0.801
S  0.893  0.502  0.320
S  0.893  0.998  0.320



Entry from the Alexandria database: an optimized crystal structure of Cs2MgUS5 (PBE).

Cell lengths 10.231, 10.231, 14.961 Å; angles 90.00, 90.00, 156.88 degrees
Positions (direct):
Cs  0.098  0.902  0.500
Cs  0.128  0.872  0.139
Cs  0.872  0.128  0.639
Cs  0.902  0.098  0.000
Mg  0.426  0.574  0.269
Mg  0.574  0.426  0.769
U  0.211  0.789  0.850
U  0.789  0.211  0.350
S  0.083  0.917  0.866
S  0.282  0.718  0.460
S  0.301  0.699  0.237
S  0.331  0.669  0.829
S  0.491  0.509  0.140
S  0.509  0.491  0.640
S  0.669  0.331  0.329
S  0.699  0.301  0.737
S  0.718  0.282  0.960
S  0.917  0.083  0.366



Entry from the Alexandria database: an optimized crystal structure of Cs2YMg2S4 (PBE).

Cell lengths 8.101, 8.101, 8.203 Å; angles 106.30, 106.30, 29.51 degrees
Positions (direct):
Cs  0.127  0.127  0.035
Cs  0.873  0.873  0.965
Y  0.000  0.000  0.500
Mg  0.329  0.329  0.524
Mg  0.671  0.671  0.476
S  0.198  0.198  0.651
S  0.477  0.477  0.720
S  0.523  0.523  0.280
S  0.802  0.802  0.349



Entry from the Alexandria database: an optimized crystal structure of Cs2MgZn2S4 (PBE).

Cell lengths 8.034, 8.034, 7.941 Å; angles 106.42, 106.42, 28.27 degrees
Positions (direct):
Cs  0.128  0.128  0.038
Cs  0.872  0.872  0.962
Mg  0.000  0.000  0.500
Zn  0.330  0.330  0.520
Zn  0.670  0.670  0.480
S  0.206  0.206  0.659
S  0.476  0.476  0.701
S  0.524  0.524  0.299
S  0.794  0.794  0.341



Entry from the Alexandria database: an optimized crystal structure of Cs2MgSb (PBE).

Values from the calculation:
Energy above the lowest structure with this stoichiometry = 174 meV/atom

Cell lengths 5.325, 5.325, 26.016 Å; angles 90.00, 90.00, 90.00 degrees
Positions (direct):
Cs  0.248  0.250  0.125
Cs  0.250  0.748  0.375
Cs  0.250  0.752  0.875
Cs  0.252  0.250  0.625
Cs  0.748  0.750  0.625
Cs  0.750  0.248  0.875
Cs  0.750  0.252  0.375
Cs  0.752  0.750  0.125
Mg  0.000  0.000  0.000
Mg  0.000  0.500  0.250
Mg  0.500  0.000  0.750
Mg  0.500  0.500  0.500
Sb  0.000  0.000  0.500
Sb  0.000  0.500  0.750
Sb  0.500  0.000  0.250
Sb  0.500  0.500  0.000



Entry from the Alexandria database: an optimized crystal structure of Cs2MgSb2 (PBE).

Cell lengths 7.842, 7.842, 6.423 Å; angles 90.00, 90.00, 90.00 degrees
Positions (direct):
Cs  0.169  0.331  0.000
Cs  0.331  0.831  0.000
Cs  0.669  0.169  0.000
Cs  0.831  0.669  0.000
Mg  0.000  0.000  0.500
Mg  0.500  0.500  0.500
Sb  0.133  0.633  0.500
Sb  0.367  0.133  0.500
Sb  0.633  0.867  0.500
Sb  0.867  0.367  0.500



Entry from the Alexandria database: an optimized crystal structure of CsMg14Sb (PBE).

Cell lengths 6.623, 6.623, 10.797 Å; angles 90.00, 90.00, 120.00 degrees
Positions (direct):
Cs  0.000  0.000  0.000
Mg  0.009  0.505  0.000
Mg  0.173  0.345  0.269
Mg  0.173  0.345  0.731
Mg  0.173  0.827  0.269
Mg  0.173  0.827  0.731
Mg  0.495  0.505  0.000
Mg  0.495  0.991  0.000
Mg  0.507  0.013  0.500
Mg  0.507  0.493  0.500
Mg  0.655  0.827  0.269
Mg  0.655  0.827  0.731
Mg  0.667  0.333  0.244
Mg  0.667  0.333  0.756
Mg  0.987  0.493  0.500
Sb  0.000  0.000  0.500



Entry from the Alexandria database: an optimized crystal structure of Cs3MgSb (PBE).

Values from the calculation:
Energy above the lowest structure with this stoichiometry = 0 meV/atom

Cell lengths 7.520, 7.520, 7.520 Å; angles 90.00, 90.00, 90.00 degrees
Positions (direct):
Cs  0.000  0.000  0.500
Cs  0.000  0.500  0.000
Cs  0.500  0.000  0.000
Mg  0.500  0.500  0.500
Sb  0.000  0.000  0.000



no.,formation energy (no corrections) (meV/atom)
1,-1271
2,-1211
3,-1386
4,-1070
5,215
6,-313
7,139
8,56